# 1
CsLi2ThTe4: relaxed, GGA-PBE.

Space-group type: I222 (23)
E in eV for the cell shown: -31.269

Structure (POSCAR):
```
CsLi2ThTe4
1.0
8.341 0.000 0.000
4.170 6.160 0.601
4.170 1.103 6.090
Cs Li Th Te
1 2 1 4
Cartesian
0.000 0.000 0.000 Cs
4.170 1.855 1.708 Li
12.511 5.409 4.983 Li
8.341 3.632 3.346 Th
6.558 1.196 3.180 Te
6.558 6.068 3.511 Te
10.123 3.268 0.931 Te
10.123 3.996 5.760 Te
```

# 2
CaErTc4: relaxed, GGA-PBE.

Space-group type: F-43m (216)
ΔE_f in eV/atom: 0.031

Structure (POSCAR):
```
CaErTc4
1.0
-1.810 -1.038 -4.972
-1.595 -4.983 -1.302
-5.231 -1.032 -0.804
Ca Tc Er
1 4 1
Cartesian
-2.159 -1.763 -1.769 Ca
-2.782 -3.892 -4.022 Tc
-4.600 -1.916 -3.773 Tc
-5.398 -4.409 -4.424 Tc
-4.493 -3.890 -1.937 Tc
0.000 0.000 0.000 Er
```

# 3
ErAlRu2C: relaxed, GGA-PBE.

Space-group type: Cmcm (63)
ΔE_f in eV/atom: -0.416

Structure (POSCAR):
```
ErAlRu2C
1.0
3.859 0.000 0.000
-1.930 5.614 0.000
0.000 0.000 7.245
Er Al Ru C
2 2 4 2
Cartesian
0.000 5.087 5.434 Er
1.930 0.526 1.811 Er
1.930 2.582 5.434 Al
0.000 3.031 1.811 Al
0.000 1.822 6.847 Ru
1.930 3.792 0.398 Ru
0.000 1.822 4.021 Ru
1.930 3.792 3.224 Ru
0.000 0.000 0.000 C
0.000 0.000 3.623 C
```

Record-wise Fermi-level density of states values, in states/eV/f.u.: 4.74 5.38 4.29